a.
ScPb2W | Alexandria | GGA-PBE | relaxed; V = 94 Å³/f.u.; magnetization = 0.00 μB per cell
1.0
3.557 0.000 0.000
0.000 3.558 0.000
0.000 0.000 7.455
Pb Sc W
2 1 1
Cartesian
0.000 0.000 7.047
1.778 1.779 2.114
0.000 0.000 4.005
1.778 1.779 5.472

b.
ScPb2W | Alexandria | GGA-PBE | relaxed; V = 90 Å³/f.u.; magnetization = 0.00 μB per cell
1.0
9.717 -0.010 -0.006
9.156 3.253 -0.006
9.156 1.573 2.848
Pb Sc W
2 1 1
Cartesian
0.173 0.030 0.017
13.841 2.378 1.400
7.007 1.204 0.709
21.021 3.612 2.127

The structure with the most favorable energy is a; the runner-up is 0.142 eV/atom above it.

a.
ScPb2W | Alexandria | GGA-PBE | relaxed; V = 87 Å³/f.u.; magnetization = 0.00 μB per cell
1.0
-0.797 0.449 -4.630
-4.414 -1.556 0.609
-1.219 3.678 0.567
Pb Sc W
2 1 1
Cartesian
0.000 0.000 0.000
-2.605 -0.553 -2.010
-1.008 2.064 -2.031
-2.816 1.061 0.588

b.
ScPb2W | Alexandria | GGA-PBE | relaxed; V = 89 Å³/f.u.; magnetization = 0.00 μB per cell
1.0
-0.239 5.149 -0.165
-3.548 3.561 -1.152
-2.101 1.604 4.463
Pb Sc W
2 1 1
Cartesian
-3.792 8.662 -1.223
-2.939 5.204 1.479
-4.416 7.735 2.359
-1.472 2.578 0.786

c.
ScPb2W | Alexandria | GGA-PBE | relaxed; V = 88 Å³/f.u.; magnetization = 0.66 μB per cell
1.0
3.494 0.000 0.000
0.000 3.495 0.000
0.000 0.000 7.230
Pb Sc W
2 1 1
Cartesian
0.000 0.000 7.066
0.000 0.000 3.779
1.747 1.747 1.807
1.747 1.747 5.422

The structure with the most favorable energy is b; the runner-up is 0.032 eV/atom above it.

a.
Sc3PbW | Alexandria | GGA-PBE | relaxed; V = 133 Å³/f.u.; magnetization = 0.00 μB per cell
1.0
-1.904 -0.126 -4.729
-1.499 -4.819 0.732
-4.487 1.663 1.762
Pb Sc W
1 3 1
Cartesian
-3.944 -1.641 -1.118
-0.749 -2.409 0.366
-2.243 0.832 0.881
-0.952 -0.063 -2.364
0.000 0.000 0.000

b.
Sc3PbW | Alexandria | GGA-PBE | relaxed; V = 150 Å³/f.u.; magnetization = 4.60 μB per cell
1.0
5.310 0.000 0.000
0.000 5.310 0.000
0.000 0.000 5.310
Pb Sc W
1 3 1
Cartesian
0.000 0.000 0.000
0.000 2.655 0.000
0.000 0.000 2.655
2.655 0.000 0.000
2.655 2.655 2.655

The structure with the most favorable energy is a; the runner-up is 0.932 eV/atom above it.

a.
YSc2Pb2 | Alexandria | GGA-PBE | relaxed; V = 130 Å³/f.u.; magnetization = 2.53 μB per cell
1.0
8.764 0.000 0.000
0.000 8.764 0.000
0.000 0.000 3.387
Pb Y Sc
4 2 4
Cartesian
1.541 5.923 1.693
5.923 7.223 1.693
7.223 2.841 1.693
2.841 1.541 1.693
0.000 0.000 0.000
4.382 4.382 0.000
3.317 7.699 0.000
7.699 5.447 0.000
5.447 1.065 0.000
1.065 3.317 0.000

b.
YSc2Pb2 | Alexandria | GGA-PBE | relaxed; V = 132 Å³/f.u.; magnetization = 2.45 μB per cell
1.0
-4.056 -5.103 5.569
-3.760 -4.119 -6.512
2.746 -2.315 -0.121
Pb Y Sc
4 2 4
Cartesian
-4.558 -5.219 -3.579
-5.889 -7.008 0.411
-3.258 -4.003 2.636
-1.927 -2.214 -1.355
0.000 0.000 0.000
-3.908 -4.611 -0.472
-1.607 -4.515 -3.450
-4.457 -7.966 -2.088
-3.463 -7.022 2.385
-0.613 -3.570 1.024

The structure with the most favorable energy is b; the runner-up is 0.116 eV/atom above it.

a.
YScPb | Alexandria | GGA-PBE | relaxed; V = 80 Å³/f.u.; magnetization = 1.22 μB per cell
1.0
-2.692 -4.734 2.578
2.824 -4.760 2.383
-0.441 6.009 -0.055
Pb Sc Y
1 1 1
Cartesian
0.130 -9.401 4.912
0.046 -3.285 1.716
0.087 -6.304 3.294

b.
YScPb | Alexandria | GGA-PBE | relaxed; V = 78 Å³/f.u.; magnetization = 1.79 μB per cell
1.0
-2.147 -4.496 -1.627
-0.238 1.337 5.063
-5.674 3.102 -1.085
Sc Pb Y
2 2 2
Cartesian
-5.766 -0.225 -0.210
-2.293 0.168 2.562
-2.929 -1.776 0.332
-5.130 1.719 2.020
0.000 0.000 0.000
-2.837 1.551 -0.543

The structure with the most favorable energy is b; the runner-up is 0.113 eV/atom above it.

a.
YSc3Pb | Alexandria | GGA-PBE | relaxed; V = 163 Å³/f.u.; magnetization = 1.95 μB per cell
1.0
5.463 0.000 0.000
0.000 5.463 0.000
0.000 0.000 5.463
Pb Y Sc
1 1 3
Cartesian
0.000 0.000 0.000
2.731 2.731 2.731
0.000 2.731 0.000
0.000 0.000 2.731
2.731 0.000 0.000

b.
YSc3Pb | Alexandria | GGA-PBE | relaxed; V = 148 Å³/f.u.; magnetization = 0.00 μB per cell
1.0
-4.575 2.645 -0.151
-1.879 -3.028 3.905
1.867 3.433 3.561
Pb Y Sc
1 1 3
Cartesian
-2.294 1.525 3.658
0.000 0.000 0.000
-0.939 -1.514 1.953
0.934 1.717 1.780
-2.288 1.322 -0.075

The structure with the most favorable energy is a; the runner-up is 0.448 eV/atom above it.

a.
Y2ScPb2 | Alexandria | GGA-PBE | relaxed; V = 141 Å³/f.u.; magnetization = 0.00 μB per cell
1.0
-3.800 -3.767 5.801
-3.217 -4.897 -5.287
3.507 -2.812 0.471
Pb Y Sc
4 4 2
Cartesian
-4.133 -5.565 -2.458
-5.327 -6.374 1.603
-2.884 -3.098 2.973
-1.690 -2.290 -1.089
-1.032 -5.308 -2.322
-3.461 -7.997 -0.291
-2.478 -6.168 3.307
-0.049 -3.479 1.276
0.000 0.000 0.000
-3.508 -4.332 0.257

b.
Y2ScPb2 | Alexandria | GGA-PBE | relaxed; V = 161 Å³/f.u.; magnetization = 1.57 μB per cell
1.0
-1.641 -1.518 -3.810
4.089 -0.284 -1.648
1.821 -8.614 0.086
Pb Y Sc
2 2 1
Cartesian
0.702 -5.516 -3.227
3.567 -4.900 -2.146
1.345 -2.458 -2.161
2.925 -7.958 -3.212
0.000 0.000 0.000

The structure with the most favorable energy is a; the runner-up is 0.637 eV/atom above it.

a.
Y2ScPb2 | Alexandria | GGA-PBE | relaxed; V = 145 Å³/f.u.; magnetization = 1.97 μB per cell
1.0
9.040 0.000 0.000
0.000 9.040 0.000
0.000 0.000 3.561
Pb Y Sc
4 4 2
Cartesian
1.562 6.082 1.780
6.082 7.477 1.780
7.477 2.958 1.780
2.958 1.562 1.780
3.354 7.874 0.000
7.874 5.686 0.000
5.686 1.166 0.000
1.166 3.354 0.000
0.000 0.000 0.000
4.520 4.520 0.000

b.
Y2ScPb2 | Alexandria | GGA-PBE | relaxed; V = 142 Å³/f.u.; magnetization = 0.00 μB per cell
1.0
4.976 0.000 0.000
0.000 6.479 0.000
-2.488 0.000 8.819
Y Sc Pb
4 2 4
Cartesian
2.488 4.711 8.817
2.488 3.085 5.380
0.000 6.324 3.438
0.000 1.472 0.002
0.000 6.334 7.035
2.488 3.095 1.783
0.000 3.092 7.451
2.488 6.324 5.562
0.000 3.085 3.257
2.488 6.331 1.368

The structure with the most favorable energy is b; the runner-up is 0.302 eV/atom above it.

a.
Sc3ZnPb | Alexandria | GGA-PBE | relaxed; V = 158 Å³/f.u.; magnetization = 1.20 μB per cell
1.0
5.409 0.000 0.000
0.000 5.409 0.000
0.000 0.000 5.409
Pb Sc Zn
1 3 1
Cartesian
0.000 0.000 0.000
0.000 2.705 0.000
0.000 0.000 2.705
2.705 0.000 0.000
2.705 2.705 2.705

b.
Sc3ZnPb | Alexandria | GGA-PBE | relaxed; V = 127 Å³/f.u.; magnetization = 0.00 μB per cell
1.0
5.030 0.000 0.000
0.000 5.030 0.000
0.000 0.000 5.030
Pb Sc Zn
1 3 1
Cartesian
2.515 2.515 2.515
0.000 2.515 0.000
0.000 0.000 2.515
2.515 0.000 0.000
0.000 0.000 0.000

The structure with the most favorable energy is b; the runner-up is 0.592 eV/atom above it.

a.
ScZn2Pb2 | Alexandria | GGA-PBE | relaxed; V = 121 Å³/f.u.; magnetization = 0.00 μB per cell
1.0
3.634 0.000 0.000
0.000 3.634 0.000
1.817 1.817 9.188
Pb Sc Zn
2 1 2
Cartesian
1.817 1.817 1.882
3.634 3.634 7.306
0.000 0.000 0.000
3.634 1.817 4.594
1.817 3.634 4.594

b.
ScZn2Pb2 | Alexandria | GGA-PBE | relaxed; V = 114 Å³/f.u.; magnetization = 0.00 μB per cell
1.0
7.764 0.000 0.000
0.000 7.764 0.000
0.000 0.000 3.788
Pb Sc Zn
4 2 4
Cartesian
1.410 5.292 1.894
5.292 6.355 1.894
6.355 2.473 1.894
2.473 1.410 1.894
0.000 0.000 0.000
3.882 3.882 0.000
2.967 6.850 0.000
6.850 4.797 0.000
4.797 0.915 0.000
0.915 2.967 0.000

The structure with the most favorable energy is b; the runner-up is 0.063 eV/atom above it.

a.
ZrSc3Pb | Alexandria | GGA-PBE | relaxed; V = 155 Å³/f.u.; magnetization = 3.71 μB per cell
1.0
-1.762 0.549 5.048
1.777 -4.939 1.157
4.757 2.048 1.438
Pb Sc Zr
1 3 1
Cartesian
0.000 0.000 0.000
0.889 -2.469 0.579
2.378 1.024 0.719
-0.881 0.274 2.524
2.386 -1.171 3.822

b.
ZrSc3Pb | Alexandria | GGA-PBE | relaxed; V = 141 Å³/f.u.; magnetization = 0.00 μB per cell
1.0
-2.509 4.410 -1.141
-2.684 -2.484 -3.697
-3.680 -1.195 3.475
Pb Sc Zr
1 3 1
Cartesian
-4.437 0.366 -0.682
-1.342 -1.242 -1.849
-1.840 -0.598 1.737
-1.255 2.205 -0.570
0.000 0.000 0.000

c.
ZrSc3Pb | Alexandria | GGA-PBE | relaxed; V = 118 Å³/f.u.; magnetization = 0.00 μB per cell
1.0
5.060 0.000 0.000
0.000 8.093 -2.170
0.000 -0.140 5.793
Zr Sc Pb
2 6 2
Cartesian
1.265 7.134 1.021
3.795 0.819 2.601
1.265 0.761 0.648
3.795 7.192 2.975
3.795 3.997 2.747
1.265 3.956 0.876
1.265 2.140 3.711
3.795 5.813 -0.089
3.795 2.504 -0.211
1.265 5.449 3.834

The structure with the most favorable energy is c; the runner-up is 0.831 eV/atom above it.

a.
ZrScPb | Alexandria | GGA-PBE | relaxed; V = 73 Å³/f.u.; magnetization = 0.00 μB per cell
1.0
-6.465 0.218 -3.724
-4.848 -2.182 -5.142
-1.940 -1.908 1.727
Pb Sc Zr
1 1 1
Cartesian
-1.947 -1.908 1.719
-5.020 -1.926 -1.754
-8.226 -1.945 -5.377

b.
ZrScPb | Alexandria | GGA-PBE | relaxed; V = 74 Å³/f.u.; magnetization = 0.00 μB per cell
1.0
4.294 0.000 0.000
0.000 4.294 0.000
0.000 0.000 7.991
Zr Sc Pb
2 2 2
Cartesian
2.147 2.147 3.995
0.000 0.000 3.995
0.000 2.147 6.637
2.147 0.000 1.354
0.000 2.147 1.683
2.147 0.000 6.307

c.
ZrScPb | Alexandria | GGA-PBE | relaxed; V = 71 Å³/f.u.; magnetization = 0.00 μB per cell
1.0
-0.294 0.050 5.775
3.485 -2.914 3.579
-0.268 3.702 -4.435
Pb Sc Zr
1 1 1
Cartesian
3.188 -2.861 9.345
1.068 -0.959 3.132
2.126 -1.908 6.231

d.
ZrScPb | Alexandria | GGA-PBE | relaxed; V = 74 Å³/f.u.; magnetization = 0.00 μB per cell
1.0
3.363 0.000 0.000
-1.681 2.912 0.000
0.000 0.000 7.603
Pb Sc Zr
1 1 1
Cartesian
0.000 0.000 7.596
1.681 0.971 2.587
0.000 1.942 5.022

The structure with the most favorable energy is b; the runner-up is 0.142 eV/atom above it.